A geometry-optimized K2Au2S structure, computed with PBE-GGA.

Geometry as POSCAR:
```
K2Au2S
1.0
7.279 0.000 0.000
0.000 7.279 0.000
0.000 0.000 5.000
K Au S
4 4 2
Direct
0.180 0.320 0.000
0.320 0.820 0.000
0.680 0.180 0.000
0.820 0.680 0.000
0.133 0.633 0.500
0.367 0.133 0.500
0.633 0.867 0.500
0.867 0.367 0.500
0.000 0.000 0.500
0.500 0.500 0.500
```

Properties
For the relative energy among the computed polymorphs, the calculation gives 0.2219 eV per atom. For the magnetization, the calculation gives 0.00 μB/atom. The calculated density comes out at 6.32 g cm⁻³. The space group is P4/mbm. The calculation puts the formation energy from raw total energies at -0.287 eV per atom.